[1]
Here is a relaxed MnFe2Cu crystal from Alexandria. Energies are from GGA-PBEsol.

The structure in POSCAR format:
```
MnFe2Cu
1.0
2.457 0.000 0.000
0.000 3.530 0.000
0.000 0.000 4.923
Mn Fe Cu
1 2 1
Direct
0.000 0.000 0.000
0.000 0.000 0.519
0.500 0.500 0.767
0.500 0.500 0.266
```

E_tot: -31.296 eV for the cell shown
D(E_F): 1.036 states/eV per atom
E_form: 0.182 eV per atom



[2]
Here is a relaxed KNbIr2 crystal from Alexandria. Energies are from GGA-PBEsol.

The structure in POSCAR format:
```
KNbIr2
1.0
0.000 3.250 3.250
3.250 0.000 3.250
3.250 3.250 0.000
K Nb Ir
1 1 2
Direct
0.000 0.000 0.000
0.500 0.500 0.500
0.250 0.250 0.250
0.750 0.750 0.750
```

E_tot: -28.617 eV for the cell shown
D(E_F): 0.458 states/eV per atom
E_form: 0.746 eV per atom



[3]
Here is a relaxed CaPdS2 crystal from Alexandria. Energies are from GGA-PBEsol.

The structure in POSCAR format:
```
CaPdS2
1.0
1.905 1.100 7.683
-1.905 1.100 7.683
0.000 -2.200 7.683
Ca Pd S
1 1 2
Direct
0.000 0.000 0.000
0.500 0.500 0.500
0.405 0.405 0.405
0.595 0.595 0.595
```

energy relative to the elements, uncorrected: -2.3 eV per formula unit
E_tot: -19.125 eV for the cell shown
D(E_F): 1.335 states/eV per atom



[4]
Here is a relaxed CsLiIn2 crystal from Alexandria. Energies are from GGA-PBEsol.

The structure in POSCAR format:
```
CsLiIn2
1.0
0.000 4.009 4.009
4.009 0.000 4.009
4.009 4.009 0.000
Cs Li In
1 1 2
Direct
0.000 0.000 0.000
0.500 0.500 0.500
0.250 0.250 0.250
0.750 0.750 0.750
```

E_tot: -8.154 eV for the cell shown
D(E_F): 0.988 states/eV per atom
E_form: 0.180 eV per atom



[5]
Here is a relaxed FeOsBr3 crystal from Alexandria. Energies are from GGA-PBEsol.

The structure in POSCAR format:
```
FeOsBr3
1.0
4.968 0.000 0.000
0.000 4.968 0.000
0.000 0.000 4.968
Fe Os Br
1 1 3
Direct
0.000 0.000 0.000
0.500 0.500 0.500
0.000 0.500 0.500
0.500 0.000 0.500
0.500 0.500 0.000
```

energy relative to the elements, uncorrected: 5.5 eV per formula unit
E_tot: -21.263 eV for the cell shown
D(E_F): 1.802 states/eV per atom



[6]
Here is a relaxed Li2MnCoO4 crystal from Alexandria. Energies are from GGA-PBEsol.

The structure in POSCAR format:
```
Li2MnCoO4
1.0
4.737 -1.416 0.000
4.737 1.416 0.000
-0.885 0.000 4.813
Li Mn Co O
2 1 1 4
Direct
0.247 0.247 0.243
0.753 0.753 0.757
0.000 0.000 0.500
0.500 0.500 0.000
0.110 0.110 0.866
0.388 0.388 0.630
0.612 0.612 0.370
0.890 0.890 0.134
```

energy relative to the elements, uncorrected: -13.3 eV per formula unit
E_tot: -55.753 eV for the cell shown
D(E_F): 0.322 states/eV per atom



[7]
Here is a relaxed YCdHg3 crystal from Alexandria. Energies are from GGA-PBEsol.

The structure in POSCAR format:
```
YCdHg3
1.0
5.711 0.000 0.000
0.000 5.711 0.000
0.000 0.000 5.711
Y Cd Hg
1 1 3
Direct
0.000 0.000 0.000
0.500 0.500 0.500
0.000 0.000 0.500
0.000 0.500 0.000
0.500 0.000 0.000
```

E_tot: -7.260 eV for the cell shown
D(E_F): 0.942 states/eV per atom
E_form: 0.492 eV per atom



[8]
Here is a relaxed LiAgAu2 crystal from Alexandria. Energies are from GGA-PBEsol.

The structure in POSCAR format:
```
LiAgAu2
1.0
2.810 0.000 0.000
0.000 4.118 0.000
0.000 0.000 5.571
Li Ag Au
1 1 2
Direct
0.000 0.000 0.000
0.500 0.500 0.259
0.000 0.000 0.504
0.500 0.500 0.772
```

E_tot: -14.161 eV for the cell shown
D(E_F): 0.262 states/eV per atom
E_form: -0.259 eV per atom



[9]
Here is a relaxed ZrCo6Re crystal from Alexandria. Energies are from GGA-PBEsol.

The structure in POSCAR format:
```
ZrCo6Re
1.0
3.588 -5.070 0.000
3.588 5.070 0.000
0.000 0.000 10.185
Zr Co Re
4 24 4
Direct
0.000 0.000 0.249
0.000 0.000 0.751
0.247 0.753 0.000
0.753 0.247 0.000
0.000 0.000 0.000
0.000 0.000 0.500
0.130 0.386 0.381
0.130 0.386 0.619
0.137 0.383 0.132
0.137 0.383 0.868
0.256 0.744 0.260
0.256 0.744 0.740
0.383 0.137 0.132
0.383 0.137 0.868
0.386 0.130 0.381
0.386 0.130 0.619
0.500 0.500 0.000
0.500 0.500 0.500
0.614 0.870 0.381
0.614 0.870 0.619
0.617 0.863 0.132
0.617 0.863 0.868
0.744 0.256 0.260
0.744 0.256 0.740
0.863 0.617 0.132
0.863 0.617 0.868
0.870 0.614 0.381
0.870 0.614 0.619
0.244 0.756 0.500
0.500 0.500 0.247
0.500 0.500 0.753
0.756 0.244 0.500
```

E_tot: -279.368 eV for the cell shown
D(E_F): 0.949 states/eV per atom
E_form: -0.125 eV per atom



[10]
Here is a relaxed Lu4Zn5Ge6 crystal from Alexandria. Energies are from GGA-PBEsol.

The structure in POSCAR format:
```
Lu4Zn5Ge6
1.0
2.065 -9.020 0.000
2.065 9.020 0.000
0.000 0.000 14.858
Lu Zn Ge
8 10 12
Direct
0.019 0.981 0.500
0.033 0.967 0.235
0.167 0.833 0.696
0.175 0.825 0.055
0.825 0.175 0.555
0.833 0.167 0.196
0.967 0.033 0.735
0.981 0.019 0.000
0.151 0.849 0.372
0.301 0.699 0.375
0.345 0.655 0.725
0.349 0.651 0.017
0.434 0.566 0.311
0.566 0.434 0.811
0.651 0.349 0.517
0.655 0.345 0.225
0.699 0.301 0.875
0.849 0.151 0.872
0.111 0.889 0.883
0.225 0.775 0.515
0.230 0.770 0.232
0.430 0.570 0.589
0.434 0.566 0.870
0.440 0.560 0.144
0.560 0.440 0.644
0.566 0.434 0.370
0.570 0.430 0.089
0.770 0.230 0.732
0.775 0.225 0.015
0.889 0.111 0.383
```

E_tot: -130.249 eV for the cell shown
D(E_F): 0.086 states/eV per atom
E_form: -0.539 eV per atom



[11]
Here is a relaxed Hf2TlTe crystal from Alexandria. Energies are from GGA-PBEsol.

The structure in POSCAR format:
```
Hf2TlTe
1.0
0.000 3.505 3.505
3.505 0.000 3.505
3.505 3.505 0.000
Hf Tl Te
2 1 1
Direct
0.250 0.250 0.250
0.750 0.750 0.750
0.000 0.000 0.000
0.500 0.500 0.500
```

energy relative to the elements, uncorrected: -0.3 eV per formula unit
E_tot: -27.486 eV for the cell shown
D(E_F): 1.259 states/eV per atom



[12]
Here is a relaxed NaLi2Ga2 crystal from Alexandria. Energies are from GGA-PBEsol.

The structure in POSCAR format:
```
NaLi2Ga2
1.0
7.891 0.000 0.000
0.000 7.891 0.000
0.000 0.000 2.882
Na Li Ga
2 4 4
Direct
0.000 0.000 0.000
0.500 0.500 0.000
0.180 0.320 0.500
0.320 0.820 0.500
0.680 0.180 0.500
0.820 0.680 0.500
0.115 0.615 0.000
0.385 0.115 0.000
0.615 0.885 0.000
0.885 0.385 0.000
```

E_tot: -26.018 eV for the cell shown
D(E_F): 0.218 states/eV per atom
E_form: -0.199 eV per atom



Which value of D(E_F) does entry 7 give? 0.942 states/eV per atom